# 1
Here is a geometry-optimized Ac5Nd6Dy2 structure from Alexandria via LeMat-Bulk. Energies are from GGA-PBE.

Summary:
ΔE_f = 0.108 eV/atom
M_tot = 0.00 μB/atom
DOS at the Fermi energy = 32.33 states/eV/cell
symmetry = Pbam, No. 55

Cell: 3.7998 12.0056 22.1298 Å, 90.00 90.00 90.00°
With the nearest neighbours (Å) after each atom.
Positions (direct):
Ac1 0.5000 0.3191 0.4500  6 Nd 3.71-3.82, 3 Ac 3.80-3.99, 2 Dy 3.95
Ac2 0.5000 0.6809 0.5500  6 Nd 3.71-3.82, 3 Ac 3.80-3.99, 2 Dy 3.95
Ac3 0.5000 0.8191 0.0500  6 Nd 3.71-3.82, 3 Ac 3.80-3.99, 2 Dy 3.95
Ac4 0.5000 0.1809 0.9500  6 Nd 3.71-3.82, 3 Ac 3.80-3.99, 2 Dy 3.95
Ac5 0.5000 0.5936 0.2661  5 Nd 3.55-3.71, 4 Dy 3.62-3.77, 2 Ac 3.80
Ac6 0.5000 0.4064 0.7339  5 Nd 3.55-3.71, 4 Dy 3.62-3.77, 2 Ac 3.80
Ac7 0.5000 0.0936 0.2339  5 Nd 3.55-3.71, 4 Dy 3.62-3.77, 2 Ac 3.80
Ac8 0.5000 0.9064 0.7661  5 Nd 3.55-3.71, 4 Dy 3.62-3.77, 2 Ac 3.80
Ac9 0.5000 0.5000 0.0000  6 Nd 3.59-3.77, 4 Ac 3.80-3.99
Ac10 0.5000 0.0000 0.5000  6 Nd 3.59-3.77, 4 Ac 3.80-3.99
Nd1 0.0000 0.0957 0.3723  1 Dy 3.43, 6 Ac 3.59-3.71, 4 Nd 3.61-3.80
Nd2 0.0000 0.9043 0.6277  1 Dy 3.43, 6 Ac 3.59-3.71, 4 Nd 3.61-3.80
Nd3 0.0000 0.5957 0.1277  1 Dy 3.43, 6 Ac 3.59-3.71, 4 Nd 3.61-3.80
Nd4 0.0000 0.4043 0.8723  1 Dy 3.43, 6 Ac 3.59-3.71, 4 Nd 3.61-3.80
Nd5 0.5000 0.3428 0.1477  2 Ac 3.55-3.77, 6 Nd 3.61-3.88, 2 Dy 3.75
Nd6 0.5000 0.6572 0.8523  2 Ac 3.55-3.77, 6 Nd 3.61-3.88, 2 Dy 3.75
Nd7 0.5000 0.8428 0.3523  2 Ac 3.55-3.77, 6 Nd 3.61-3.88, 2 Dy 3.75
Nd8 0.5000 0.1572 0.6477  2 Ac 3.55-3.77, 6 Nd 3.61-3.88, 2 Dy 3.75
Nd9 0.0000 0.5817 0.4100  6 Ac 3.71-3.82, 4 Nd 3.80-3.88, 1 Dy 3.86
Nd10 0.0000 0.4183 0.5900  6 Ac 3.71-3.82, 4 Nd 3.80-3.88, 1 Dy 3.86
Nd11 0.0000 0.0817 0.0900  6 Ac 3.71-3.82, 4 Nd 3.80-3.88, 1 Dy 3.86
Nd12 0.0000 0.9183 0.9100  6 Ac 3.71-3.82, 4 Nd 3.80-3.88, 1 Dy 3.86
Dy1 0.0000 0.3417 0.2939  3 Nd 3.43-3.75, 4 Ac 3.62-3.77, 2 Dy 3.80
Dy2 0.0000 0.6583 0.7061  3 Nd 3.43-3.75, 4 Ac 3.62-3.77, 2 Dy 3.80
Dy3 0.0000 0.8417 0.2061  3 Nd 3.43-3.75, 4 Ac 3.62-3.77, 2 Dy 3.80
Dy4 0.0000 0.1583 0.7939  3 Nd 3.43-3.75, 4 Ac 3.62-3.77, 2 Dy 3.80

# 2
Here is a geometry-optimized ReSeO2 structure from Alexandria via LeMat-Bulk. Energies are from GGA-PBE.

Summary:
M_tot = 0.00 μB/atom
DOS at the Fermi energy = 2.59 states/eV/cell
symmetry = R-3m, No. 166
uncorrected formation energy = -141 meV/atom

Cell: 7.6850 7.6850 7.6850 Å, 21.42 21.42 21.42°
With the nearest neighbours (Å) after each atom.
Positions (direct):
Re1 0.0000 0.0000 0.0000  2 O 1.81
O1 0.9197 0.9197 0.9197  1 Re 1.81
O2 0.0803 0.0803 0.0803  1 Re 1.81
Se1 0.5000 0.5000 0.5000  6 O 2.55

# 3
Here is a geometry-optimized Nb2SiRu2 structure from Alexandria via LeMat-Bulk. Energies are from GGA-PBE.

Summary:
M_tot = 0.00 μB/atom
DOS at the Fermi energy = 3.28 states/eV/cell
symmetry = P4/mbm, No. 127
uncorrected formation energy = -57 meV/atom

Cell: 7.2962 7.2962 3.0877 Å, 90.00 90.00 90.00°
With the nearest neighbours (Å) after each atom.
Positions (direct):
Ru1 0.3658 0.8658 0.0000  6 Nb 2.57-2.69, 1 Ru 2.77, 2 Si 2.84
Ru2 0.8658 0.6342 0.0000  6 Nb 2.57-2.69, 1 Ru 2.77, 2 Si 2.84
Ru3 0.6342 0.1342 0.0000  6 Nb 2.57-2.69, 1 Ru 2.77, 2 Si 2.84
Ru4 0.1342 0.3658 0.0000  6 Nb 2.57-2.69, 1 Ru 2.77, 2 Si 2.84
Nb1 0.1665 0.6665 0.5000  6 Ru 2.57-2.69
Nb2 0.6665 0.8335 0.5000  6 Ru 2.57-2.69
Nb3 0.8335 0.3335 0.5000  6 Ru 2.57-2.69
Nb4 0.3335 0.1665 0.5000  6 Ru 2.57-2.69
Si1 0.0000 0.0000 0.0000  4 Ru 2.84, 2 Si 3.09, 8 Nb 3.13
Si2 0.5000 0.5000 0.0000  4 Ru 2.84, 2 Si 3.09, 8 Nb 3.13

# 4
Here is a geometry-optimized YSiCl2 structure from Alexandria via LeMat-Bulk. Energies are from GGA-PBE.

Summary:
M_tot = 0.14 μB/atom
DOS at the Fermi energy = 6.43 states/eV/cell
symmetry = I-42d, No. 122
uncorrected formation energy = -776 meV/atom

Cell: 4.4831 4.4831 9.8359 Å, 76.83 76.83 90.00°
With the nearest neighbours (Å) after each atom.
Positions (direct):
Y1 0.0000 0.0000 0.0000  4 Cl 2.81
Y2 0.7500 0.2500 0.5000  4 Cl 2.81
Si1 0.5000 0.5000 0.0000  4 Cl 2.83
Si2 0.2500 0.7500 0.5000  4 Cl 2.83
Cl1 0.6302 0.1250 0.2500  2 Y 2.81, 2 Si 2.83, 2 Cl 3.14
Cl2 0.1198 0.6250 0.2500  2 Y 2.81, 2 Si 2.83, 2 Cl 3.14
Cl3 0.3750 0.3698 0.7500  2 Y 2.81, 2 Si 2.83, 2 Cl 3.14
Cl4 0.8750 0.8802 0.7500  2 Y 2.81, 2 Si 2.83, 2 Cl 3.14

# 5
Here is a geometry-optimized Y2Ni4P3Rh structure from Alexandria via LeMat-Bulk. Energies are from GGA-PBE.

Summary:
ΔE_f = -0.851 eV/atom
M_tot = 0.00 μB/atom
DOS at the Fermi energy = 8.06 states/eV/cell
symmetry = P-4m2, No. 115

Cell: 3.8583 3.8583 9.8555 Å, 90.00 90.00 90.00°
With the nearest neighbours (Å) after each atom.
Positions (direct):
Y1 0.5000 0.0000 0.2449  8 Ni 2.91-3.09, 6 P 2.97-3.17, 2 Rh 3.17
Y2 0.0000 0.5000 0.7551  8 Ni 2.91-3.09, 6 P 2.97-3.17, 2 Rh 3.17
Ni1 0.5000 0.5000 0.0000  4 P 2.30
Ni2 0.0000 0.0000 0.0000  4 P 2.30
Ni3 0.5000 0.0000 0.6510  3 P 2.19-2.44, 2 Rh 2.44
Ni4 0.0000 0.5000 0.3490  3 P 2.19-2.44, 2 Rh 2.44
P1 0.0000 0.0000 0.5000  4 Ni 2.44, 4 Rh 2.73
P2 0.5000 0.0000 0.8731  5 Ni 2.19-2.30
P3 0.0000 0.5000 0.1269  5 Ni 2.19-2.30
Rh1 0.5000 0.5000 0.5000  4 Ni 2.44, 4 P 2.73